DFT (PBE) results for a relaxed structure of ZrAgC2O.

Geometry as POSCAR:
```
ZrAgC2O
1.0
4.112 0.000 0.000
0.000 3.978 0.000
0.000 0.000 4.112
O C Zr Ag
1 2 1 1
Direct
0.000 0.000 0.000
0.000 0.000 0.500
0.500 0.000 0.000
0.000 0.500 0.000
0.500 0.500 0.500
```

Properties
Calculated volume: 67.3 Å³ per cell
DOS at the Fermi energy: 0.4620 states/eV/atom
SG: No. 123
Uncorrected formation energy: 130 kJ per mole of atoms

DFT (PBE) results for a relaxed structure of CsLi2CeBr8.

Geometry as POSCAR:
```
CsLi2CeBr8
1.0
-0.206 6.780 1.872
-5.712 -0.648 1.988
0.062 -2.009 10.111
Cs Li Ce Br
1 2 1 8
Direct
0.000 0.000 0.500
0.520 0.558 0.790
0.480 0.442 0.210
0.000 0.000 0.000
0.136 0.644 0.229
0.674 0.745 0.986
0.783 0.150 0.186
0.864 0.356 0.771
0.326 0.255 0.014
0.217 0.850 0.814
0.501 0.739 0.515
0.499 0.261 0.485
```

Properties
Calculated volume: 414.5 Å³ per cell
DOS at the Fermi energy: 0.0600 states/eV/atom
SG: No. 2
Uncorrected formation energy: -137 kJ per mole of atoms

DFT (PBE) results for a relaxed structure of CoNiSe4.

Geometry as POSCAR:
```
CoNiSe4
1.0
-3.072 1.474 -1.080
0.495 -2.254 -4.486
-3.073 -4.995 1.924
Co Ni Se
1 1 4
Direct
0.000 0.500 0.500
0.500 0.500 0.000
0.000 0.264 0.838
0.000 0.736 0.162
0.500 0.256 0.350
0.500 0.744 0.650
```

Properties
Calculated volume: 111.2 Å³ per cell
Distance to the lowest polymorph of the same formula: 0.0 meV per atom
DOS at the Fermi energy: 0.4877 states/eV/atom
SG: No. 10
Uncorrected formation energy: -28 kJ per mole of atoms

DFT (PBE) results for a relaxed structure of TmAlAg.

Geometry as POSCAR:
```
TmAlAg
1.0
4.643 0.000 0.000
2.321 4.021 0.000
2.321 1.340 3.791
Tm Al Ag
1 1 1
Direct
0.000 0.000 0.000
0.500 0.500 0.500
0.250 0.250 0.250
```

Properties
Calculated volume: 70.8 Å³ per cell
DOS at the Fermi energy: 1.5032 states/eV/atom
ΔH_f (0 K): -0.177 eV/atom
SG: No. 216

DFT (PBE) results for a relaxed structure of Rb2SeI6Cl.

Geometry as POSCAR:
```
Rb2SeI6Cl
1.0
-5.342 -6.747 2.370
6.608 -5.788 -1.584
2.336 -5.765 5.662
I Se Rb Cl
6 1 2 1
Direct
0.258 0.258 0.484
0.742 0.742 0.516
0.225 0.225 0.000
0.775 0.775 0.000
0.775 0.225 0.000
0.225 0.775 0.000
0.000 0.000 0.000
0.750 0.250 0.500
0.250 0.750 0.500
0.500 0.500 0.000
```

Properties
Calculated volume: 443.0 Å³ per cell
DOS at the Fermi energy: 0.1577 states/eV/atom
SG: No. 139
Uncorrected formation energy: -57 kJ per mole of atoms

DFT (PBE) results for a relaxed structure of MgPt3O.

Geometry as POSCAR:
```
MgPt3O
1.0
-0.617 0.155 -4.629
4.322 -1.659 -0.631
-1.665 -4.366 0.076
Mg O Pt
1 1 3
Direct
0.000 0.000 0.000
0.500 0.500 0.500
0.000 0.500 0.000
0.000 0.000 0.500
0.500 0.000 0.000
```

Properties
Calculated volume: 102.0 Å³ per cell
Distance to the lowest polymorph of the same formula: 1424.0 meV per atom
DOS at the Fermi energy: 1.2964 states/eV/atom
SG: No. 221
Uncorrected formation energy: 148 kJ per mole of atoms

DFT (PBE) results for a relaxed structure of AcNd3Rh.

Geometry as POSCAR:
```
AcNd3Rh
1.0
7.730 0.000 0.000
0.000 8.319 -0.136
0.000 -2.923 10.153
Ac Nd Rh
4 12 4
Direct
0.952 0.680 0.254
0.048 0.320 0.746
0.452 0.320 0.246
0.548 0.680 0.754
0.128 0.085 0.390
0.872 0.915 0.610
0.628 0.915 0.110
0.372 0.085 0.890
0.492 0.793 0.383
0.508 0.207 0.617
0.992 0.207 0.117
0.008 0.793 0.883
0.202 0.579 0.530
0.798 0.421 0.470
0.702 0.421 0.970
0.298 0.579 0.030
0.255 0.943 0.600
0.745 0.057 0.400
0.755 0.057 0.900
0.245 0.943 0.100
```

Properties
Calculated volume: 649.8 Å³ per cell
Distance to the lowest polymorph of the same formula: 0.0 meV per atom
DOS at the Fermi energy: 1.0789 states/eV/atom
ΔH_f (0 K): -0.244 eV/atom
SG: No. 14

DFT (PBE) results for a relaxed structure of ReSbTe2P.

Geometry as POSCAR:
```
ReSbTe2P
1.0
-1.800 -3.549 -3.259
1.347 -3.711 3.297
-4.685 0.304 2.256
Re Te P Sb
1 2 1 1
Direct
0.000 0.000 0.000
0.000 0.500 0.000
0.500 0.000 0.000
0.500 0.500 0.500
0.000 0.000 0.500
```

Properties
Calculated volume: 137.8 Å³ per cell
Distance to the lowest polymorph of the same formula: 0.0 meV per atom
DOS at the Fermi energy: 0.8991 states/eV/atom
SG: No. 123
Uncorrected formation energy: 97 kJ per mole of atoms

| no. | E (eV per atom) |
| --- | --- |
| 1 | -5.610 |
| 2 | -3.420 |
| 3 | -4.758 |
| 4 | -3.865 |
| 5 | -2.246 |
| 6 | -3.405 |
| 7 | -5.396 |
| 8 | -4.652 |